Record 1
! GaCu2Ni6 | the Alexandria database | PBE | relaxed; values from VASP
&SYSTEM
  ibrav = 0, nat = 9, ntyp = 3
/
ATOMIC_SPECIES
Ga 69.72 Ga.upf
Cu 63.55 Cu.upf
Ni 58.69 Ni.upf
CELL_PARAMETERS angstrom
6.958 0.000 0.000
-3.479 6.026 0.000
0.000 0.000 2.477
ATOMIC_POSITIONS crystal
Ga 0.000 0.000 0.000
Cu 0.333 0.667 0.500
Cu 0.667 0.333 0.500
Ni 0.000 0.335 0.220
Ni 0.000 0.665 0.780
Ni 0.335 0.000 0.220
Ni 0.335 0.335 0.780
Ni 0.665 0.000 0.780
Ni 0.665 0.665 0.220
! - Energy relative to the lowest polymorph listed for this composition: 1.069 eV per formula unit
! - Space group: P-31m

***

Record 2
! Ga2Cu2Ni7 | the Alexandria database | PBE | relaxed; values from VASP
&SYSTEM
  ibrav = 0, nat = 11, ntyp = 3
/
ATOMIC_SPECIES
Ga 69.72 Ga.upf
Cu 63.55 Cu.upf
Ni 58.69 Ni.upf
CELL_PARAMETERS angstrom
4.332 -3.756 0.000
4.332 3.756 0.000
-0.939 0.000 4.177
ATOMIC_POSITIONS crystal
Ga 0.207 0.793 0.000
Ga 0.793 0.207 0.000
Cu 0.241 0.241 0.235
Cu 0.759 0.759 0.765
Ni 0.000 0.000 0.500
Ni 0.050 0.400 0.733
Ni 0.400 0.050 0.733
Ni 0.455 0.455 0.726
Ni 0.545 0.545 0.274
Ni 0.600 0.950 0.267
Ni 0.950 0.600 0.267
! - Space group: C2/m

***

Record 3
! GaCu2Ni6 | the Alexandria database | PBE | relaxed; values from VASP
&SYSTEM
  ibrav = 0, nat = 18, ntyp = 3
/
ATOMIC_SPECIES
Ga 69.72 Ga.upf
Cu 63.55 Cu.upf
Ni 58.69 Ni.upf
CELL_PARAMETERS angstrom
7.497 0.000 0.000
0.000 7.497 0.000
0.000 0.000 3.628
ATOMIC_POSITIONS crystal
Ga 0.000 0.000 0.000
Ga 0.500 0.500 0.500
Cu 0.173 0.173 0.500
Cu 0.327 0.673 0.000
Cu 0.673 0.327 0.000
Cu 0.827 0.827 0.500
Ni 0.004 0.336 0.000
Ni 0.164 0.504 0.500
Ni 0.164 0.836 0.500
Ni 0.336 0.004 0.000
Ni 0.336 0.336 0.000
Ni 0.496 0.836 0.500
Ni 0.504 0.164 0.500
Ni 0.664 0.664 0.000
Ni 0.664 0.996 0.000
Ni 0.836 0.164 0.500
Ni 0.836 0.496 0.500
Ni 0.996 0.664 0.000
! - Energy relative to the lowest polymorph listed for this composition: 0.000 eV per formula unit
! - Space group: P4_2/mnm

***

Record 4
! GaCu5Ni | the Alexandria database | PBE | relaxed; values from VASP
&SYSTEM
  ibrav = 0, nat = 7, ntyp = 3
/
ATOMIC_SPECIES
Ga 69.72 Ga.upf
Cu 63.55 Cu.upf
Ni 58.69 Ni.upf
CELL_PARAMETERS angstrom
2.532 -3.619 0.000
2.532 3.619 0.000
0.000 0.000 5.052
ATOMIC_POSITIONS crystal
Ga 0.000 0.000 0.000
Cu 0.000 0.500 0.259
Cu 0.000 0.500 0.741
Cu 0.500 0.000 0.259
Cu 0.500 0.000 0.741
Cu 0.500 0.500 0.000
Ni 0.500 0.500 0.500
! - Energy relative to the lowest polymorph listed for this composition: 0.000 eV per formula unit
! - Space group: Cmmm

***

| no. | E (eV/f.u.) | energy of formation from the pure elements (kJ/mol of atoms) |
| --- | --- | --- |
| 1 | -45.7 | 2.7 |
| 2 | -54.2 | 4.2 |
| 3 | -46.7 | -8.7 |
| 4 | -28.7 | 8.0 |